Entry 1:
Compound: GaSe2
Source: Alexandria
Functional: GGA-PBE
Structure: optimized geometry

a = 4.736 Å, b = 6.223 Å, c = 5.440 Å
α = 90.00°, β = 107.08°, γ = 90.00°
Space group C2 (No. 5)
Asymmetric unit:
Ga1 0.000 0.000 0.000
Se1 0.246 0.192 0.733

Results
* polymorph energy (0 for the lowest one): 66.4 meV/atom
* E_tot: -22.11 eV/cell
* magnetic moment: 0.000 μB per atom
* E_form (uncorrected): -0.352 eV per atom
* mass density: 4.9 Mg/m³
* volume: 25.54 A^3/atom

***

Entry 2:
Compound: GaSe
Source: Alexandria
Functional: GGA-PBE
Structure: optimized geometry

a = 3.8168 Å, b = 3.8168 Å, c = 26.3812 Å
α = 90.00°, β = 90.00°, γ = 120.00°
Space group R3m (No. 160, hexagonal axes)
Asymmetric unit:
Ga1 0.0000 0.0000 0.0000
Ga2 0.0000 0.0000 0.0936
Se1 0.0000 0.0000 0.2889
Se2 0.0000 0.0000 0.4714

Results
* E_tot: -46.19 eV/cell
* magnetic moment: 0.000 μB per atom
* E_form (uncorrected): -0.593 eV per atom
* mass density: 4.5 Mg/m³
* volume: 27.74 A^3/atom

***

Entry 3:
Compound: GaSe
Source: Alexandria
Functional: GGA-PBE
Structure: optimized geometry

a = 3.8131 Å, b = 3.8131 Å, c = 35.3662 Å
α = 90.00°, β = 90.00°, γ = 120.00°
Space group P6_3mc (No. 186)
Asymmetric unit:
Ga1 0.0000 0.0000 0.0000
Ga2 0.0000 0.0000 0.0698
Ga3 0.3333 0.6667 0.2510
Ga4 0.3333 0.6667 0.3207
Se1 0.0000 0.0000 0.2178
Se2 0.0000 0.0000 0.3540
Se3 0.3333 0.6667 0.4668
Se4 0.3333 0.6667 0.6030

Results
* E_tot: -61.63 eV/cell
* magnetic moment: 0.000 μB per atom
* E_form (uncorrected): -0.596 eV per atom
* mass density: 4.4 Mg/m³
* volume: 27.83 A^3/atom

***

Entry 4:
Compound: GaSe
Source: Alexandria
Functional: GGA-PBE
Structure: optimized geometry

a = 3.7934 Å, b = 3.7934 Å, c = 16.2293 Å
α = 90.00°, β = 90.00°, γ = 120.00°
Space group P6_3/mmc (No. 194)
Asymmetric unit:
Ga1 0.3333 0.6667 0.0756
Se1 0.3333 0.6667 0.6561

Results
* E_tot: -27.65 eV/cell
* magnetic moment: 0.000 μB per atom
* E_form (uncorrected): -0.201 eV per atom
* mass density: 4.9 Mg/m³
* volume: 25.28 A^3/atom

***

Entry 5:
Compound: Ga6Se
Source: Alexandria
Functional: GGA-PBE
Structure: optimized geometry

a = 7.151 Å, b = 7.151 Å, c = 7.151 Å
α = 90.00°, β = 90.00°, γ = 90.00°
Space group Im-3m (No. 229)
Asymmetric unit:
Ga1 0.000 0.250 0.500
Se1 0.000 0.000 0.000

Results
* E_tot: -37.39 eV/cell
* magnetic moment: 0.000 μB per atom
* E_form (uncorrected): 0.421 eV per atom
* mass density: 4.5 Mg/m³
* volume: 26.12 A^3/atom

***

Entry 6:
Compound: GaSe
Source: Alexandria
Functional: GGA-PBE
Structure: optimized geometry

a = 11.017 Å, b = 11.017 Å, c = 3.702 Å
α = 90.00°, β = 90.00°, γ = 90.00°
Space group I4/m (No. 87)
Asymmetric unit:
Ga1 0.164 0.313 0.000
Se1 0.024 0.255 0.500

Results
* E_tot: -57.44 eV/cell
* magnetic moment: 0.000 μB per atom
* E_form (uncorrected): -0.335 eV per atom
* mass density: 4.4 Mg/m³
* volume: 28.09 A^3/atom

***

Entry 7:
Compound: GaSe
Source: Alexandria
Functional: GGA-PBE
Structure: optimized geometry

a = 7.538 Å, b = 7.538 Å, c = 7.538 Å
α = 90.00°, β = 90.00°, γ = 90.00°
Space group Pm-3n (No. 223)
Asymmetric unit:
Ga1 0.000 0.250 0.500
Se1 0.000 0.500 0.250

Results
* E_tot: -41.08 eV/cell
* magnetic moment: 0.000 μB per atom
* E_form (uncorrected): -0.167 eV per atom
* mass density: 3.5 Mg/m³
* volume: 35.70 A^3/atom

***

Entry 8:
Compound: GaSe2
Source: Alexandria
Functional: GGA-PBE
Structure: optimized geometry

a = 3.588 Å, b = 3.588 Å, c = 7.027 Å
α = 90.00°, β = 90.00°, γ = 90.00°
Space group P-4m2 (No. 115)
Asymmetric unit:
Ga1 0.000 0.000 0.000
Se1 0.000 0.500 0.230

Results
* polymorph energy (0 for the lowest one): 77.8 meV/atom
* E_tot: -11.02 eV/cell
* magnetic moment: 0.000 μB per atom
* E_form (uncorrected): -0.341 eV per atom
* mass density: 4.2 Mg/m³
* volume: 30.16 A^3/atom

***

Entry 9:
Compound: GaSe2
Source: Alexandria
Functional: GGA-PBE
Structure: optimized geometry

a = 3.892 Å, b = 3.940 Å, c = 11.142 Å
α = 93.60°, β = 99.40°, γ = 105.61°
Space group P-1 (No. 2)
Asymmetric unit:
Ga1 0.092 0.464 0.230
Se1 0.131 0.100 0.908
Se2 0.310 0.365 0.650

Results
* polymorph energy (0 for the lowest one): 34.8 meV/atom
* E_tot: -22.30 eV/cell
* magnetic moment: 0.000 μB per atom
* E_form (uncorrected): -0.384 eV per atom
* mass density: 4.7 Mg/m³
* volume: 26.89 A^3/atom

***

Entry 10:
Compound: GaSe
Source: Alexandria
Functional: GGA-PBE
Structure: optimized geometry

a = 10.6745 Å, b = 10.6745 Å, c = 3.9338 Å
α = 90.00°, β = 90.00°, γ = 120.00°
Space group P6_3/m (No. 176)
Asymmetric unit:
Ga1 0.1017 0.4497 0.2500
Se1 0.0713 0.6869 0.2500

Results
* E_tot: -42.26 eV/cell
* magnetic moment: 0.000 μB per atom
* E_form (uncorrected): -0.266 eV per atom
* mass density: 3.8 Mg/m³
* volume: 32.35 A^3/atom

***

Entry 11:
Compound: GaSe2
Source: Alexandria
Functional: GGA-PBE
Structure: optimized geometry

a = 3.906 Å, b = 6.025 Å, c = 7.924 Å
α = 102.94°, β = 95.74°, γ = 101.26°
Space group P-1 (No. 2)
Asymmetric unit:
Ga1 0.211 0.496 0.333
Se1 0.177 0.678 0.098
Se2 0.359 0.758 0.637

Results
* polymorph energy (0 for the lowest one): 0.0 meV/atom
* E_tot: -22.50 eV/cell
* magnetic moment: 0.000 μB per atom
* E_form (uncorrected): -0.419 eV per atom
* mass density: 4.3 Mg/m³
* volume: 29.37 A^3/atom

***

Entry 12:
Compound: GaSe2
Source: Alexandria
Functional: GGA-PBE
Structure: optimized geometry

a = 3.939 Å, b = 6.284 Å, c = 7.283 Å
α = 67.44°, β = 81.70°, γ = 78.69°
Space group P1 (No. 1)
Asymmetric unit:
Ga1 0.000 0.000 0.000
Ga2 0.325 0.584 0.739
Se1 0.147 0.994 0.675
Se2 0.420 0.494 0.437
Se3 0.467 0.897 0.234
Se4 0.821 0.416 0.964

Results
* polymorph energy (0 for the lowest one): 1.4 meV/atom
* E_tot: -22.50 eV/cell
* magnetic moment: 0.000 μB per atom
* E_form (uncorrected): -0.417 eV per atom
* mass density: 4.6 Mg/m³
* volume: 27.13 A^3/atom